Dy2UNiO8 | GGA+U | optimized geometry

Cell: 5.011 5.014 6.876 Å, 84.30 95.67 93.97°
Each line ends with the local moment (μB).
Atoms (fractional coordinates):
O: 0.794 0.208 0.787  0.05
O: 0.698 0.701 0.000  0.04
Dy: 0.530 0.470 0.263  -0.01
O: 0.838 0.162 0.265  0.10
Ni: 0.000 0.000 0.500  1.10
U: 0.000 0.000 0.000  0.01
O: 0.162 0.838 0.735  0.10
Dy: 0.470 0.530 0.737  -0.01
O: 0.725 0.726 0.500  0.18
O: 0.275 0.274 0.500  0.18
O: 0.302 0.299 0.000  0.04
O: 0.206 0.792 0.213  0.05

Output
The calculation puts the total energy at -7.776 eV per atom. As for the density: 7.290 g cm⁻³.